(1)
The following is a PBE calculation of an optimized crystal structure of SnO, from Alexandria.

Cell and atoms, written as extended XYZ:
```
12
Lattice="6.7566 0.0000 0.0000 0.0000 6.7566 0.0000 0.0000 0.0000 6.7566" Properties=species:S:1:pos:R:3 pbc="T T T"
Sn 0.0000 1.6892 3.3783
Sn 0.0000 5.0675 3.3783
Sn 1.6892 3.3783 0.0000
Sn 3.3783 0.0000 1.6892
Sn 3.3783 0.0000 5.0675
Sn 5.0675 3.3783 0.0000
O 0.0000 3.3783 1.6892
O 0.0000 3.3783 5.0675
O 1.6892 0.0000 3.3783
O 3.3783 1.6892 0.0000
O 3.3783 5.0675 0.0000
O 5.0675 0.0000 3.3783
```

Values from the calculation:
* ρ: 4351 kg/m3
* energy relative to the elements, uncorrected: -0.759 eV per atom


(2)
The following is a PBE calculation of an optimized crystal structure of La2SI2, from Alexandria.

Cell and atoms, written as extended XYZ:
```
10
Lattice="7.8286 0.0000 0.0000 0.0000 7.8286 0.0000 0.0000 0.0000 5.3339" Properties=species:S:1:pos:R:3 pbc="T T T"
La 1.3291 2.5852 0.0000
La 2.5852 6.4995 0.0000
La 5.2434 1.3291 0.0000
La 6.4995 5.2434 0.0000
S 0.0000 0.0000 0.0000
S 3.9143 3.9143 0.0000
I 1.2522 5.1665 2.6669
I 2.6621 1.2522 2.6669
I 5.1665 6.5764 2.6669
I 6.5764 2.6621 2.6669
```

Values from the calculation:
* ρ: 5727 kg/m3
* D(E_F): 0.649 states/eV/atom
* energy relative to the elements, uncorrected: -1.423 eV per atom


(3)
The following is a PBE calculation of an optimized crystal structure of HfZnHg2, from Alexandria.

Cell and atoms, written as extended XYZ:
```
4
Lattice="4.4732 0.0000 0.0000 0.0000 4.4732 0.0000 0.0000 0.0000 4.0161" Properties=species:S:1:pos:R:3 pbc="T T T"
Hf 0.0000 0.0000 0.0000
Zn 2.2366 2.2366 0.0000
Hg 0.0000 2.2366 2.0080
Hg 2.2366 0.0000 2.0080
```

Values from the calculation:
* ρ: 13330 kg/m3
* DFT formation energy: 0.011 eV per atom
* D(E_F): 0.581 states/eV/atom


(4)
The following is a PBE calculation of an optimized crystal structure of CaEuSn2, from Alexandria.

Cell and atoms, written as extended XYZ:
```
4
Lattice="3.5405 0.0000 0.0000 0.0000 3.5405 0.0000 0.0000 0.0000 9.1880" Properties=species:S:1:pos:R:3 pbc="T T T"
Ca 0.0000 0.0000 0.0000
Eu 0.0000 0.0000 4.5940
Sn 1.7702 1.7702 2.2642
Sn 1.7702 1.7702 6.9238
```

Values from the calculation:
* ρ: 6192 kg/m3
* DFT formation energy: -0.636 eV per atom
* D(E_F): 1.671 states/eV/atom


(5)
The following is a PBE calculation of an optimized crystal structure of NaMg2GaS4, from Alexandria.

Cell and atoms, written as extended XYZ:
```
8
Lattice="-3.0056 3.0056 5.1786 3.0056 -3.0056 5.1786 3.0056 3.0056 -5.1786" Properties=species:S:1:pos:R:3 pbc="T T T"
Na 0.0000 0.0000 0.0000
Mg 3.0056 0.0000 2.5893
Mg 0.0000 3.0056 2.5893
Ga 0.0000 0.0000 5.1786
S 1.6818 1.6818 -1.3385
S 1.3238 -1.3238 6.5171
S 1.3238 1.3238 3.8402
S -1.3238 1.3238 6.5171
```

Values from the calculation:
* ρ: 2392 kg/m3
* D(E_F): 0.000 states/eV/atom
* energy relative to the elements, uncorrected: -1.172 eV per atom


(6)
The following is a PBE calculation of an optimized crystal structure of ScTeMoAu2, from Alexandria.

Cell and atoms, written as extended XYZ:
```
5
Lattice="5.1170 0.0000 0.0000 0.0000 5.1170 0.0000 0.0000 0.0000 4.8937" Properties=species:S:1:pos:R:3 pbc="T T T"
Sc 0.0000 0.0000 0.0000
Te 2.5585 2.5585 0.0000
Mo 0.0000 0.0000 2.4468
Au 0.0000 2.5585 2.4468
Au 2.5585 0.0000 2.4468
```

Values from the calculation:
* ρ: 8585 kg/m3
* D(E_F): 1.200 states/eV/atom
* offset from the most stable computed form: 0 meV per atom
* energy relative to the elements, uncorrected: 0.748 eV per atom


Calculated electronic total energy in order - -62.876; -48.394; -11.786; -22.827; -33.423; -23.119 eV/cell